! Ac2Cd2NiO6 (GGA+U, relaxed); values from VASP
! space group: R-3m (166)
! E: -5.54 eV per atom
! spin magnetization: 0.181 μB per atom
&SYSTEM
  ibrav = 0, nat = 11, ntyp = 4
/
ATOMIC_SPECIES
Ac 227.00 Ac.upf
Cd 112.41 Cd.upf
Ni 58.69 Ni.upf
O 16.00 O.upf
CELL_PARAMETERS angstrom
6.316 0.000 0.000
3.158 5.470 0.000
3.158 1.823 5.428
ATOMIC_POSITIONS angstrom
Ac 9.474 5.470 3.211
Ac 3.158 1.823 2.216
Cd 6.316 3.647 4.185
Cd 6.316 3.647 1.243
Ni 0.000 0.000 0.000
O 8.120 4.688 1.455
O 4.512 4.688 1.455
O 6.316 1.563 1.455
O 6.316 5.730 3.973
O 8.120 2.605 3.973
O 4.512 2.605 3.973